# PBE with a Hubbard U PuMnIn4O8, optimized geometry
# **Mass density**: 7.37 g/cm³
# **Total DFT energy (no corrections)**: -6.728 eV/atom
data_PuMnIn4O8
_space_group_name_H-M_alt 'R 3 m'
_space_group_IT_number 160
_space_group_name_Hall 'R 3 -2"'
_cell_length_a 6.7371
_cell_length_b 6.7371
_cell_length_c 15.2428
_cell_angle_alpha 90.00
_cell_angle_beta 90.00
_cell_angle_gamma 120.00
loop_
_atom_site_label
_atom_site_type_symbol
_atom_site_fract_x
_atom_site_fract_y
_atom_site_fract_z
Pu1 Pu 0.0000 0.0000 0.0000
Mn1 Mn 0.0000 0.0000 0.6136
In1 In 0.0000 0.0000 0.2226
In2 In 0.0042 0.5021 0.1139
O1 O 0.0000 0.0000 0.3679
O2 O 0.0000 0.0000 0.8549
O3 O 0.0498 0.5249 0.3636
O4 O 0.1971 0.3942 0.2007